DFT (PBE) results for crystalline KBa2V at its relaxed geometry.

Output
The value obtained for the density of states at the Fermi level is 21.30 states/eV/cell. As for the energy relative to the elements: 0.68 eV/atom.

The structure in CIF format:
```
data_KBa2V
_space_group_name_H-M_alt 'F m -3 m'
_space_group_IT_number 225
_space_group_name_Hall '-F 4 2 3'
_cell_length_a 8.994
_cell_length_b 8.994
_cell_length_c 8.994
_cell_angle_alpha 90.00
_cell_angle_beta 90.00
_cell_angle_gamma 90.00
loop_
_atom_site_label
_atom_site_type_symbol
_atom_site_fract_x
_atom_site_fract_y
_atom_site_fract_z
_atom_site_occupancy
K1 K 0.000 0.000 0.000 1
Ba1 Ba 0.250 0.250 0.250 1
V1 V 0.000 0.000 0.500 1
```


DFT (PBE) results for crystalline LaTb5Er2Sc at its relaxed geometry.

Output
The value obtained for the density of states at the Fermi level is 59.76 states/eV/cell. As for the energy relative to the elements: 0.18 eV/atom.

The structure in CIF format:
```
data_LaTb5Er2Sc
_space_group_name_H-M_alt 'C m c 21'
_space_group_IT_number 36
_space_group_name_Hall 'C 2c -2'
_cell_length_a 5.593
_cell_length_b 19.741
_cell_length_c 10.367
_cell_angle_alpha 90.00
_cell_angle_beta 90.00
_cell_angle_gamma 90.00
loop_
_atom_site_label
_atom_site_type_symbol
_atom_site_fract_x
_atom_site_fract_y
_atom_site_fract_z
_atom_site_occupancy
La1 La 0.000 0.085 0.000 1
Tb1 Tb 0.000 0.018 0.287 1
Tb2 Tb 0.000 0.124 0.568 1
Tb3 Tb 0.000 0.203 0.254 1
Tb4 Tb 0.000 0.223 0.870 1
Tb5 Tb 0.000 0.482 0.568 1
Er1 Er 0.000 0.386 0.281 1
Er2 Er 0.000 0.388 0.862 1
Sc1 Sc 0.000 0.304 0.561 1
```


DFT (PBE) results for crystalline LaCePr6 at its relaxed geometry.

Output
The value obtained for the density of states at the Fermi level is 15.65 states/eV/cell. Its polymorph energy (0 for the lowest one) is 0.00 eV per formula unit. As for the energy relative to the elements: 0.04 eV/atom.

The structure in CIF format:
```
data_LaCePr6
_space_group_name_H-M_alt 'P 4/m m m'
_space_group_IT_number 123
_space_group_name_Hall '-P 4 2'
_cell_length_a 5.218
_cell_length_b 5.218
_cell_length_c 10.435
_cell_angle_alpha 90.00
_cell_angle_beta 90.00
_cell_angle_gamma 90.00
loop_
_atom_site_label
_atom_site_type_symbol
_atom_site_fract_x
_atom_site_fract_y
_atom_site_fract_z
_atom_site_occupancy
La1 La 0.000 0.000 0.000 1
Ce1 Ce 0.000 0.000 0.500 1
Pr1 Pr 0.000 0.500 0.256 1
Pr2 Pr 0.500 0.500 0.000 1
Pr3 Pr 0.500 0.500 0.500 1
```


DFT (PBE) results for crystalline ErWN2 at its relaxed geometry.

Output
The value obtained for the density of states at the Fermi level is 3.63 states/eV/cell. As for the formation energy (no corrections): -0.915 eV/atom. Its polymorph energy (0 for the lowest one) is 0.90 eV per formula unit.

The structure in CIF format:
```
data_ErWN2
_space_group_name_H-M_alt 'R -3 m'
_space_group_IT_number 166
_space_group_name_Hall '-R 3 2"'
_cell_length_a 3.2116
_cell_length_b 3.2116
_cell_length_c 15.7477
_cell_angle_alpha 90.00
_cell_angle_beta 90.00
_cell_angle_gamma 120.00
loop_
_atom_site_label
_atom_site_type_symbol
_atom_site_fract_x
_atom_site_fract_y
_atom_site_fract_z
_atom_site_occupancy
Er1 Er 0.0000 0.0000 0.0000 1
W1 W 0.0000 0.0000 0.5000 1
N1 N 0.0000 0.0000 0.2427 1
```


DFT (PBE) results for crystalline MgZn2Cd at its relaxed geometry.

Output
The value obtained for the density of states at the Fermi level is 8.57 states/eV/cell. Its polymorph energy (0 for the lowest one) is 0.30 eV per formula unit. As for the energy relative to the elements: 0.04 eV/atom.

The structure in CIF format:
```
data_MgZn2Cd
_space_group_name_H-M_alt 'F -4 3 m'
_space_group_IT_number 216
_space_group_name_Hall 'F -4 2 3'
_cell_length_a 6.651
_cell_length_b 6.651
_cell_length_c 6.651
_cell_angle_alpha 90.00
_cell_angle_beta 90.00
_cell_angle_gamma 90.00
loop_
_atom_site_label
_atom_site_type_symbol
_atom_site_fract_x
_atom_site_fract_y
_atom_site_fract_z
_atom_site_occupancy
Mg1 Mg 0.000 0.000 0.000 1
Zn1 Zn 0.000 0.000 0.500 1
Zn2 Zn 0.250 0.250 0.750 1
Cd1 Cd 0.250 0.250 0.250 1
```


DFT (PBE) results for crystalline U2Tc3Ge at its relaxed geometry.

Output
The value obtained for the density of states at the Fermi level is 33.35 states/eV/cell. As for the energy relative to the elements: -0.18 eV/atom.

The structure in CIF format:
```
data_U2Tc3Ge
_space_group_name_H-M_alt 'R -3 m'
_space_group_IT_number 166
_space_group_name_Hall '-R 3 2"'
_cell_length_a 5.4535
_cell_length_b 5.4535
_cell_length_c 12.2330
_cell_angle_alpha 90.00
_cell_angle_beta 90.00
_cell_angle_gamma 120.00
loop_
_atom_site_label
_atom_site_type_symbol
_atom_site_fract_x
_atom_site_fract_y
_atom_site_fract_z
_atom_site_occupancy
U1 U 0.0000 0.0000 0.1102 1
Tc1 Tc 0.0000 0.5000 0.0000 1
Ge1 Ge 0.0000 0.0000 0.5000 1
```


Number 1: VASP energy -0.104 Ha/atom. Number 2: VASP energy -0.171 Ha/atom. Number 3: VASP energy -0.180 Ha/atom. Number 4: VASP energy -0.348 Ha/atom. Number 5: VASP energy -0.045 Ha/atom. Number 6: VASP energy -0.363 Ha/atom.